# Li3Fe2Si2O8

Li3Fe2Si2O8 after structural relaxation (GGA+U, the Alexandria database).

Lattice parameters (Å, degrees): 5.0251 5.3055 6.7932 88.54 88.99 89.89
Space group P1 (No. 1)
Unique sites:
1 Li 0.0000 0.0000 0.0000 (multiplicity 1)
2 Li 0.0024 0.4855 0.2153 (multiplicity 1)
3 Li 0.4968 0.8003 0.2085 (multiplicity 1)
4 Fe 0.4733 0.8460 0.7036 (multiplicity 1)
5 Fe 0.9912 0.4549 0.6895 (multiplicity 1)
6 Si 0.0044 0.9582 0.4390 (multiplicity 1)
7 Si 0.4837 0.3224 0.9592 (multiplicity 1)
8 O 0.3227 0.9055 0.4465 (multiplicity 1)
9 O 0.3620 0.4641 0.7539 (multiplicity 1)
10 O 0.3781 0.4671 0.1470 (multiplicity 1)
11 O 0.3922 0.0227 0.9526 (multiplicity 1)
12 O 0.8179 0.3313 0.9280 (multiplicity 1)
13 O 0.8816 0.8038 0.6462 (multiplicity 1)
14 O 0.8820 0.8450 0.2408 (multiplicity 1)
15 O 0.9337 0.2608 0.4669 (multiplicity 1)

Computed properties:
excess energy over the best structure of this formula in the dataset	0.0362	eV per atom
spin magnetization	9.00	μB/f.u.